[1]
5
Lattice="4.4802 0.0000 0.0000 0.0000 4.4802 0.0000 0.0000 0.0000 4.4802" Properties=species:S:1:pos:R:3 comment="CoW3S | the Alexandria database | PBE | optimized geometry" n_ef_per_ev_fu=3.60 formation_energy_uncorrected_mev_per_atom=1691 polymorph_energy_mev_per_atom=511.0 space_group="Pm-3m (221)" volume_a3_per_cell=89.93 pbc="T T T"
S 2.2401 2.2401 2.2401
Co 0.0000 0.0000 0.0000
W 0.0000 2.2401 0.0000
W 0.0000 0.0000 2.2401
W 2.2401 0.0000 0.0000

---

[2]
12
Lattice="3.1210 0.0000 0.0000 0.0000 9.0452 -0.0909 -1.5605 -1.1085 6.2830" Properties=species:S:1:pos:R:3 comment="CoWS | the Alexandria database | PBE | optimized geometry" n_ef_per_ev_fu=2.79 formation_energy_uncorrected_mev_per_atom=70 space_group="C2/m (12)" volume_a3_per_cell=177.06 pbc="T T T"
S 0.0000 3.7593 1.3105
S 0.0000 0.5211 5.7173
S 1.5605 7.4155 0.4748
S 1.5605 4.1773 4.8816
W 0.0000 5.2581 3.2935
W 1.5605 7.3881 2.8979
W 1.5605 2.6786 2.8987
W 0.0000 0.5486 3.2943
Co 0.0000 2.5875 5.0554
Co 1.5605 0.4711 1.2370
Co 1.5605 5.3491 1.1367
Co 0.0000 7.4656 4.9551

---

[3]
5
Lattice="-1.7210 3.0739 2.4110 -2.7268 -2.8319 1.6641 2.7976 -0.8692 3.1051" Properties=species:S:1:pos:R:3 comment="CoWS3 | the Alexandria database | PBE | optimized geometry" n_ef_per_ev_fu=4.51 formation_energy_uncorrected_mev_per_atom=910 polymorph_energy_mev_per_atom=277.7 space_group="Pm-3m (221)" volume_a3_per_cell=77.80 pbc="T T T"
S -1.3634 -1.4159 0.8320
S 1.3988 -0.4346 1.5525
S -0.8605 1.5369 1.2055
Co 0.0000 0.0000 0.0000
W -0.8251 -0.3136 3.5901

---

[4]
5
Lattice="4.4838 0.0000 0.0000 0.0000 4.4838 0.0000 0.0000 0.0000 4.4838" Properties=species:S:1:pos:R:3 comment="Co3WS | the Alexandria database | PBE | optimized geometry" n_ef_per_ev_fu=7.08 formation_energy_uncorrected_mev_per_atom=1737 polymorph_energy_mev_per_atom=1068.1 space_group="Pm-3m (221)" volume_a3_per_cell=90.14 pbc="T T T"
S 2.2419 2.2419 2.2419
Co 0.0000 2.2419 0.0000
Co 0.0000 0.0000 2.2419
Co 2.2419 0.0000 0.0000
W 0.0000 0.0000 0.0000

---

[5]
4
Lattice="0.0000 2.9646 2.9646 2.9646 0.0000 2.9646 2.9646 2.9646 0.0000" Properties=species:S:1:pos:R:3 comment="CoWS2 | the Alexandria database | PBE | optimized geometry" n_ef_per_ev_fu=3.67 formation_energy_uncorrected_mev_per_atom=164 polymorph_energy_mev_per_atom=275.8 space_group="Fm-3m (225)" volume_a3_per_cell=52.11 pbc="T T T"
S 1.4823 1.4823 1.4823
S 4.4469 4.4469 4.4469
Co 0.0000 0.0000 0.0000
W 2.9646 2.9646 2.9646

---

[6]
8
Lattice="5.3484 0.0000 0.0000 0.0000 5.3484 0.0000 2.6742 2.6742 5.2581" Properties=species:S:1:pos:R:3 comment="CoW2S | the Alexandria database | PBE | optimized geometry" n_ef_per_ev_fu=1.38 formation_energy_uncorrected_mev_per_atom=817 space_group="I-42d (122)" volume_a3_per_cell=150.41 pbc="T T T"
S 2.6742 2.6742 0.0000
S 2.6742 5.3484 2.6291
Co 0.0000 0.0000 0.0000
Co 5.3484 2.6742 2.6291
W 4.0851 1.3371 1.3145
W 1.2633 4.0113 1.3145
W 4.0113 3.9375 3.9436
W 6.6855 6.7593 3.9436

---

[7]
5
Lattice="-0.4302 -3.6915 2.8224 4.0046 -1.7324 -1.6554 2.3572 2.2694 3.3275" Properties=species:S:1:pos:R:3 comment="CoWS3 | the Alexandria database | PBE | optimized geometry" n_ef_per_ev_fu=13.17 formation_energy_uncorrected_mev_per_atom=632 polymorph_energy_mev_per_atom=0.0 space_group="Pm-3m (221)" volume_a3_per_cell=101.63 pbc="T T T"
S 2.0023 -0.8662 -0.8277
S 1.1786 1.1347 1.6637
S -0.2151 -1.8458 1.4112
Co 2.9658 -1.5773 2.2472
W 0.0000 0.0000 0.0000

---

[8]
12
Lattice="6.7186 -0.1024 -1.2696 -3.6281 5.6556 -1.2696 0.1236 0.2221 6.8092" Properties=species:S:1:pos:R:3 comment="Y6CoS5 | the Alexandria database | PBE | optimized geometry" n_ef_per_ev_fu=8.74 formation_energy_uncorrected_mev_per_atom=-1691 space_group="C2/m (12)" volume_a3_per_cell=260.03 pbc="T T T"
Y 2.4137 0.4577 1.0226
Y 4.0973 3.4830 3.2474
Y 0.8302 1.4918 4.5600
Y 2.3838 4.2836 -0.2900
Y -0.8832 2.2925 1.0226
Y 0.8003 5.3177 3.2474
S 4.9782 1.0116 2.1350
S 3.2607 1.8220 -1.2696
S 1.6070 2.8877 2.1350
S -0.1702 3.7313 -1.2696
S -1.7642 4.7638 2.1350
Co 0.0000 0.0000 0.0000

---

[9]
4
Lattice="-1.4373 -4.2913 6.0213 1.9083 -2.1737 6.9549 -1.7575 -0.4465 7.3109" Properties=species:S:1:pos:R:3 comment="YCoS2 | the Alexandria database | PBE | optimized geometry" n_ef_per_ev_fu=0.00 formation_energy_uncorrected_mev_per_atom=-939 polymorph_energy_mev_per_atom=79.5 space_group="R-3m (166)" volume_a3_per_cell=102.57 pbc="T T T"
Y -0.6433 -3.4558 10.1436
S -1.1571 -6.2162 18.2462
S -0.1294 -0.6953 2.0409
Co 0.0000 0.0000 0.0000

---

[10]
5
Lattice="-0.5215 1.1663 4.0105 1.3129 -3.7910 1.2732 3.9649 1.4087 0.1059" Properties=species:S:1:pos:R:3 comment="YCo3S | the Alexandria database | PBE | optimized geometry" n_ef_per_ev_fu=2.88 formation_energy_uncorrected_mev_per_atom=-216 polymorph_energy_mev_per_atom=0.0 space_group="Pm-3m (221)" volume_a3_per_cell=74.57 pbc="T T T"
Y 2.3782 -0.6080 2.6948
S 0.0000 0.0000 0.0000
Co 0.6565 -1.8955 0.6366
Co 1.9825 0.7044 0.0529
Co -0.2607 0.5832 2.0052

---

[11]
8
Lattice="5.4390 0.0000 0.0000 0.0000 5.4390 0.0000 2.7195 2.7195 5.9883" Properties=species:S:1:pos:R:3 comment="YCoS2 | the Alexandria database | PBE | optimized geometry" n_ef_per_ev_fu=2.47 formation_energy_uncorrected_mev_per_atom=-1018 polymorph_energy_mev_per_atom=0.0 space_group="I-42d (122)" volume_a3_per_cell=177.15 pbc="T T T"
Y 0.0000 0.0000 0.0000
Y 5.4390 2.7195 2.9941
S 3.7668 1.3597 1.4971
S 1.6722 4.0792 1.4971
S 4.0792 4.3917 4.4912
S 6.7987 6.4863 4.4912
Co 2.7195 2.7195 0.0000
Co 2.7195 5.4390 2.9941

---

[12]
4
Lattice="-1.6727 -4.2640 0.3820 -4.3616 -0.6501 1.2959 -3.0939 -1.5352 -3.0326" Properties=species:S:1:pos:R:3 comment="YCoS2 | the Alexandria database | PBE | optimized geometry" n_ef_per_ev_fu=3.31 formation_energy_uncorrected_mev_per_atom=-813 polymorph_energy_mev_per_atom=205.0 space_group="Fm-3m (225)" volume_a3_per_cell=68.66 pbc="T T T"
Y -4.5641 -3.2247 -0.6774
S -2.2821 -1.6123 -0.3387
S -6.8462 -4.8370 -1.0160
Co 0.0000 0.0000 0.0000